Entry 1:
A geometry-optimized KOsBr6 structure. Source: Alexandria, functional PBE.

Structure (POSCAR):
```
KOsBr6
1.0
-2.4362 -5.5726 3.6540
4.5880 -4.7924 2.6295
1.1472 0.0198 7.5707
K Br Os
1 6 1
Cartesian
1.6495 -5.1726 6.9271
3.7637 -6.1136 9.4969
-1.1039 -4.5910 8.9396
2.6660 -1.8419 6.9323
0.6330 -8.5034 6.9218
-0.4647 -4.2317 4.3572
4.4028 -5.7543 4.9145
0.0000 0.0000 0.0000
```

Results
volume: 35.71 Å³ per atom
energy above the lowest structure with this stoichiometry: 24 meV/atom
formation energy (no corrections): -516 meV/atom

***

Entry 2:
A geometry-optimized Zr3MnOs structure. Source: Alexandria, functional PBE.

Structure (POSCAR):
```
Zr3MnOs
1.0
-3.1570 0.5572 3.4063
-3.0204 -2.6803 -2.3609
1.6706 -3.7929 2.1687
Zr Os Mn
3 1 1
Cartesian
0.8353 -1.8964 1.0844
-1.5785 0.2786 1.7032
-1.5102 -1.3401 -1.1804
-2.2534 -2.9580 1.6071
0.0000 0.0000 0.0000
```

Results
volume: 20.47 Å³ per atom
energy above the lowest structure with this stoichiometry: 0 meV/atom

***

Entry 3:
A geometry-optimized Mn2PbN structure. Source: Alexandria, functional PBE.

Structure (POSCAR):
```
Mn2PbN
1.0
6.1639 0.0000 0.0000
0.0000 6.1639 0.0000
3.0819 3.0819 3.3690
N Mn Pb
2 4 2
Cartesian
3.0819 3.0819 0.0000
3.0819 6.1639 1.6845
7.7048 6.7813 2.5268
3.6994 1.5410 0.8423
4.6229 5.5464 2.5268
2.4645 4.6229 0.8423
0.0000 0.0000 0.0000
6.1639 3.0819 1.6845
```

Results
volume: 16.00 Å³ per atom
formation energy (no corrections): 133 meV/atom

***

Entry 4:
A geometry-optimized Nd8Si3Te4S structure. Source: Alexandria, functional PBE.

Structure (POSCAR):
```
Nd8Si3Te4S
1.0
-5.5405 -4.3221 5.0611
1.5599 -7.3965 -4.6089
6.6539 4.2762 3.5274
Nd Te Si S
8 4 3 1
Cartesian
6.2976 -2.1843 1.3553
-0.3276 -3.1368 4.3712
-0.8770 -3.1151 0.1148
3.0010 -4.3056 -0.3917
3.5504 -4.3274 3.8648
0.2353 -6.4973 2.1177
2.4380 -0.9451 1.8619
-3.6242 -5.2582 2.6243
0.5567 -0.0230 4.2942
3.3270 2.1381 1.7637
0.0000 0.0000 0.0000
-2.7702 -2.1611 2.5305
1.3367 -3.7212 1.9898
-1.9903 -5.8593 0.2261
4.1069 -1.5602 -0.5408
0.7800 -3.6983 -2.3045
```

Results
volume: 29.66 Å³ per atom
formation energy (no corrections): -1302 meV/atom

***

Entry 5:
A geometry-optimized NiTeCl structure. Source: Alexandria, functional PBE.

Structure (POSCAR):
```
NiTeCl
1.0
-2.2250 -1.9640 1.8248
4.0819 -3.2433 1.4864
1.1646 4.2320 6.0361
Te Ni Cl
2 2 2
Cartesian
0.3979 1.5238 7.1755
2.6236 -2.4991 2.1718
2.3870 -0.2829 7.6571
0.6344 -0.6924 1.6901
3.2594 -0.1622 5.5251
-0.2379 -0.8132 3.8222
```

Results
volume: 23.49 Å³ per atom
formation energy (no corrections): -411 meV/atom